Sr2CrNiO | GGA-PBEsol | relaxed

a = 5.846 Å, b = 5.846 Å, c = 3.525 Å
α = 90.00°, β = 90.00°, γ = 90.00°
Fractional positions:
Sr (0.000, 0.500, 0.000)
Sr (0.500, 0.000, 0.000)
Cr (0.000, 0.000, 0.500)
Ni (0.500, 0.500, 0.000)
O (0.500, 0.500, 0.500)

Results
As for the symmetry: P4/mmm, No. 123. As for the uncorrected formation energy: 28 meV/atom.

***

V4CrNiO12 | GGA-PBEsol | relaxed

a = 6.545 Å, b = 6.545 Å, c = 5.701 Å
α = 104.73°, β = 104.73°, γ = 83.92°
Fractional positions:
V (0.200, 0.200, 0.485)
V (0.394, 0.020, 0.998)
V (0.800, 0.800, 0.515)
V (0.980, 0.606, 0.002)
Cr (0.672, 0.328, 0.500)
Ni (0.508, 0.492, 0.000)
O (0.209, 0.052, 0.185)
O (0.218, 0.488, 0.012)
O (0.261, 0.031, 0.691)
O (0.395, 0.376, 0.586)
O (0.512, 0.782, 0.988)
O (0.565, 0.226, 0.132)
O (0.624, 0.605, 0.414)
O (0.680, 0.043, 0.522)
O (0.774, 0.435, 0.868)
O (0.948, 0.791, 0.815)
O (0.957, 0.320, 0.478)
O (0.969, 0.739, 0.309)

Results
As for the symmetry: C2, No. 5. As for the uncorrected formation energy: -2071 meV/atom.

***

CrNiOs | GGA-PBEsol | relaxed

a = 2.544 Å, b = 3.704 Å, c = 7.623 Å
α = 90.00°, β = 90.00°, γ = 90.00°
Fractional positions:
Cr (0.000, 0.000, 0.000)
Cr (0.500, 0.500, 0.500)
Ni (0.000, 0.000, 0.334)
Ni (0.500, 0.500, 0.834)
Os (0.000, 0.000, 0.668)
Os (0.500, 0.500, 0.168)

Results
The calculation puts the formation energy at 79 meV per atom. As for the symmetry: Imm2, No. 44.

***

CrNiSn2Os | GGA-PBEsol | relaxed

a = 4.657 Å, b = 4.657 Å, c = 4.607 Å
α = 90.00°, β = 90.00°, γ = 90.00°
Fractional positions:
Cr (0.000, 0.000, 0.000)
Ni (0.500, 0.500, 0.500)
Sn (0.000, 0.500, 0.500)
Sn (0.500, 0.000, 0.500)
Os (0.500, 0.500, 0.000)

Results
The calculation puts the formation energy at 1141 meV per atom. As for the symmetry: P4/mmm, No. 123.

***

no.,total magnetization (μB per cell)
1,5.23
2,3.97
3,0.00
4,2.52